1.
Nb5As3 PBE-GGA optimized geometry; calculated volume = 17.29 A^3/atom; M_tot = 0.0 Bohr magnetons per cell; energy = -552.004 eV/cell
1.0
26.311 0.000 0.000
0.000 3.537 0.000
0.000 0.000 11.892
As Nb
24 40
direct
0.220 0.250 0.004 As
0.076 0.250 0.052 As
0.573 0.750 0.081 As
0.344 0.250 0.192 As
0.198 0.750 0.246 As
0.451 0.750 0.249 As
0.951 0.750 0.251 As
0.698 0.750 0.254 As
0.844 0.250 0.308 As
0.073 0.750 0.419 As
0.576 0.250 0.448 As
0.720 0.250 0.496 As
0.280 0.750 0.504 As
0.424 0.750 0.552 As
0.927 0.250 0.581 As
0.156 0.750 0.692 As
0.302 0.250 0.746 As
0.049 0.250 0.749 As
0.549 0.250 0.751 As
0.802 0.250 0.754 As
0.656 0.750 0.808 As
0.427 0.250 0.919 As
0.924 0.750 0.948 As
0.780 0.750 0.996 As
0.677 0.750 0.040 Nb
0.151 0.750 0.056 Nb
0.398 0.750 0.067 Nb
0.967 0.250 0.083 Nb
0.498 0.250 0.105 Nb
0.276 0.750 0.120 Nb
0.863 0.750 0.147 Nb
0.761 0.250 0.155 Nb
0.046 0.750 0.197 Nb
0.623 0.250 0.211 Nb
0.123 0.250 0.289 Nb
0.546 0.750 0.303 Nb
0.261 0.250 0.345 Nb
0.363 0.750 0.353 Nb
0.776 0.750 0.380 Nb
0.998 0.250 0.395 Nb
0.467 0.250 0.417 Nb
0.898 0.750 0.433 Nb
0.651 0.750 0.444 Nb
0.177 0.750 0.460 Nb
0.823 0.250 0.540 Nb
0.349 0.250 0.556 Nb
0.102 0.250 0.567 Nb
0.533 0.750 0.583 Nb
0.002 0.750 0.605 Nb
0.224 0.250 0.620 Nb
0.637 0.250 0.647 Nb
0.739 0.750 0.655 Nb
0.454 0.250 0.697 Nb
0.877 0.750 0.711 Nb
0.377 0.750 0.789 Nb
0.954 0.250 0.803 Nb
0.239 0.750 0.845 Nb
0.137 0.250 0.853 Nb
0.724 0.250 0.880 Nb
0.502 0.750 0.895 Nb
0.033 0.750 0.917 Nb
0.602 0.250 0.933 Nb
0.849 0.250 0.944 Nb
0.323 0.250 0.960 Nb

***

2.
NbAs PBE-GGA optimized geometry; calculated volume = 24.62 A^3/atom; M_tot = 0.2 Bohr magnetons per cell; energy = -14.153 eV/cell
1.0
-1.147 0.463 3.924
-1.800 3.493 1.219
-3.994 0.020 0.987
As Nb
1 1
direct
0.000 0.000 0.000 As
0.250 0.250 0.250 Nb

***

3.
NdNbAs PBE-GGA optimized geometry; calculated volume = 24.15 A^3/atom; M_tot = 0.3 Bohr magnetons per cell; energy = -20.123 eV/cell
1.0
4.203 -1.529 -1.379
3.081 -1.547 3.164
1.024 -4.560 0.235
As Nb Nd
1 1 1
direct
0.000 0.000 0.000 As
0.250 0.250 0.250 Nb
0.750 0.750 0.750 Nd

***

4.
Nd2NbAs3 PBE-GGA optimized geometry; calculated volume = 23.78 A^3/atom; M_tot = 0.0 Bohr magnetons per cell; energy = -40.073 eV/cell
1.0
4.067 0.000 0.000
-2.034 3.523 0.000
0.000 0.000 9.958
As Nb Nd
3 1 2
direct
0.000 0.000 0.000 As
0.333 0.667 0.363 As
0.667 0.333 0.637 As
0.000 0.000 0.500 Nb
0.667 0.333 0.183 Nd
0.333 0.667 0.817 Nd

***

5.
NdNbAsO PBE-GGA optimized geometry; calculated volume = 18.01 A^3/atom; M_tot = 0.0 Bohr magnetons per cell; energy = -54.591 eV/cell
1.0
4.200 0.000 0.000
0.000 4.200 0.000
0.000 0.000 8.168
As Nb Nd O
2 2 2 2
direct
0.000 0.500 0.239 As
0.500 0.000 0.761 As
0.500 0.000 0.093 Nb
0.000 0.500 0.907 Nb
0.000 0.000 0.500 Nd
0.500 0.500 0.500 Nd
0.000 0.000 0.000 O
0.500 0.500 0.000 O

***

6.
NdNbAsO PBE-GGA optimized geometry; calculated volume = 18.91 A^3/atom; M_tot = 0.2 Bohr magnetons per cell; energy = -63.771 eV/cell
1.0
4.039 0.000 0.000
0.000 4.039 0.000
0.000 0.000 9.277
As Nb Nd O
2 2 2 2
direct
0.750 0.750 0.309 As
0.250 0.250 0.691 As
0.750 0.250 0.500 Nb
0.250 0.750 0.500 Nb
0.250 0.250 0.128 Nd
0.750 0.750 0.872 Nd
0.750 0.250 0.000 O
0.250 0.750 0.000 O

***

7.
NdNbAsO PBE-GGA optimized geometry; calculated volume = 18.28 A^3/atom; M_tot = 0.0 Bohr magnetons per cell; energy = -61.891 eV/cell
1.0
4.213 0.000 0.000
0.000 4.888 0.000
0.000 0.000 7.101
As Nb Nd O
2 2 2 2
direct
0.000 0.840 0.288 As
0.000 0.160 0.788 As
0.000 0.346 0.439 Nb
0.000 0.654 0.939 Nb
0.500 0.172 0.090 Nd
0.500 0.828 0.590 Nd
0.500 0.346 0.437 O
0.500 0.654 0.937 O

***

8.
NdNbAsO PBE-GGA optimized geometry; calculated volume = 21.97 A^3/atom; M_tot = 0.4 Bohr magnetons per cell; energy = -59.878 eV/cell
1.0
4.598 0.000 0.000
-0.001 6.093 0.000
0.000 -0.001 6.273
As Nb Nd O
2 2 2 2
direct
0.997 0.925 0.250 As
0.997 0.425 0.738 As
0.497 0.036 0.105 Nb
0.497 0.535 0.883 Nb
0.997 0.429 0.263 Nd
0.997 0.929 0.725 Nd
0.497 0.361 0.163 O
0.497 0.861 0.825 O

***

9.
NbNi2As PBE-GGA optimized geometry; calculated volume = 13.64 A^3/atom; M_tot = 0.0 Bohr magnetons per cell; energy = -26.552 eV/cell
1.0
0.000 3.010 3.010
3.010 0.000 3.010
3.010 3.010 0.000
As Nb Ni
1 1 2
direct
0.500 0.500 0.500 As
0.250 0.250 0.250 Nb
0.000 0.000 0.000 Ni
0.750 0.750 0.750 Ni

***

10.
Nb5Ni4As4 PBE-GGA optimized geometry; calculated volume = 14.75 A^3/atom; M_tot = 0.0 Bohr magnetons per cell; energy = -98.356 eV/cell
1.0
0.982 -4.835 5.595
-1.109 6.913 -2.574
-7.086 -2.041 -1.121
As Nb Ni
4 5 4
direct
0.442 0.758 0.200 As
0.758 0.558 0.317 As
0.242 0.442 0.683 As
0.558 0.242 0.800 As
0.500 0.500 0.000 Nb
0.194 0.871 0.066 Nb
0.129 0.194 0.323 Nb
0.871 0.806 0.677 Nb
0.806 0.129 0.934 Nb
0.918 0.394 0.311 Ni
0.394 0.082 0.476 Ni
0.606 0.918 0.524 Ni
0.082 0.606 0.689 Ni

***

11.
NbNiAs2 PBE-GGA optimized geometry; calculated volume = 15.97 A^3/atom; M_tot = 0.4 Bohr magnetons per cell; energy = -24.126 eV/cell
1.0
-2.127 3.945 0.223
1.681 3.316 2.512
1.779 3.621 -1.964
As Nb Ni
2 1 1
direct
0.500 0.500 0.500 As
0.750 0.750 0.750 As
0.250 0.250 0.250 Nb
0.000 0.000 0.000 Ni

***

12.
NbNiAsPd PBE-GGA optimized geometry; calculated volume = 15.34 A^3/atom; M_tot = 0.6 Bohr magnetons per cell; energy = -25.458 eV/cell
1.0
0.000 3.130 3.130
3.130 0.000 3.130
3.130 3.130 0.000
As Nb Ni Pd
1 1 1 1
direct
0.000 0.000 0.000 As
0.500 0.500 0.500 Nb
0.750 0.750 0.750 Ni
0.250 0.250 0.250 Pd

***

13.
NbNiAsPd PBE-GGA optimized geometry; calculated volume = 15.03 A^3/atom; M_tot = 0.0 Bohr magnetons per cell; energy = -26.351 eV/cell
1.0
0.000 3.109 3.109
3.109 0.000 3.109
3.109 3.109 0.000
As Nb Ni Pd
1 1 1 1
direct
0.000 0.000 0.000 As
0.250 0.250 0.250 Nb
0.750 0.750 0.750 Ni
0.500 0.500 0.500 Pd

***

14.
TaNbNiAs PBE-GGA optimized geometry; calculated volume = 15.80 A^3/atom; M_tot = 0.0 Bohr magnetons per cell; energy = -31.366 eV/cell
1.0
0.000 3.161 3.161
3.161 0.000 3.161
3.161 3.161 0.000
As Nb Ni Ta
1 1 1 1
direct
0.000 0.000 0.000 As
0.250 0.250 0.250 Nb
0.750 0.750 0.750 Ni
0.500 0.500 0.500 Ta

***

15.
NbNiAsW PBE-GGA optimized geometry; calculated volume = 15.33 A^3/atom; M_tot = 0.0 Bohr magnetons per cell; energy = -31.822 eV/cell
1.0
0.732 -1.004 4.248
1.386 3.130 2.806
-2.726 1.526 3.136
As Nb Ni W
1 1 1 1
direct
0.000 0.000 0.000 As
0.250 0.250 0.250 Nb
0.750 0.750 0.750 Ni
0.500 0.500 0.500 W

***

16.
YNbNiAs PBE-GGA optimized geometry; calculated volume = 17.42 A^3/atom; M_tot = 0.1 Bohr magnetons per cell; energy = -26.084 eV/cell
1.0
-0.482 2.435 3.895
-4.189 0.583 1.855
-1.099 -2.142 3.942
As Nb Ni Y
1 1 1 1
direct
0.000 0.000 0.000 As
0.250 0.250 0.250 Nb
0.750 0.750 0.750 Ni
0.500 0.500 0.500 Y

***

17.
Nb2As2O5 PBE-GGA optimized geometry; calculated volume = 12.17 A^3/atom; M_tot = 0.0 Bohr magnetons per cell; energy = -64.423 eV/cell
1.0
-4.186 4.617 5.701
1.495 -1.921 2.653
2.747 2.324 0.135
As Nb O
2 2 5
direct
0.000 0.000 0.000 As
0.500 0.000 0.000 As
0.209 0.500 0.500 Nb
0.791 0.500 0.500 Nb
0.303 0.500 0.000 O
0.697 0.500 0.000 O
0.303 0.000 0.500 O
0.697 0.000 0.500 O
0.500 0.500 0.500 O

***

18.
NbAsO5 PBE-GGA optimized geometry; calculated volume = 12.08 A^3/atom; M_tot = 0.0 Bohr magnetons per cell; energy = -104.416 eV/cell
1.0
6.480 0.000 0.000
0.000 6.480 0.000
0.000 0.000 4.026
As Nb O
2 2 10
direct
0.000 0.000 0.500 As
0.500 0.500 0.500 As
0.500 0.000 0.196 Nb
0.000 0.500 0.804 Nb
0.000 0.500 0.251 O
0.799 0.075 0.256 O
0.425 0.299 0.256 O
0.575 0.701 0.256 O
0.201 0.925 0.256 O
0.075 0.201 0.744 O
0.701 0.425 0.744 O
0.299 0.575 0.744 O
0.925 0.799 0.744 O
0.500 0.000 0.749 O

***

19.
Nb2AsO4 PBE-GGA optimized geometry; calculated volume = 12.68 A^3/atom; M_tot = 0.0 Bohr magnetons per cell; energy = -108.668 eV/cell
1.0
4.459 -4.461 0.000
-4.459 0.000 -4.461
4.459 4.461 0.000
As Nb O
2 4 8
direct
0.000 0.000 0.000 As
0.750 0.500 0.250 As
0.375 0.750 0.125 Nb
0.375 0.750 0.625 Nb
0.375 0.250 0.625 Nb
0.875 0.250 0.625 Nb
0.139 0.759 0.380 O
0.620 0.241 0.380 O
0.620 0.759 0.380 O
0.130 0.259 0.389 O
0.620 0.241 0.861 O
0.130 0.741 0.870 O
0.130 0.259 0.870 O
0.611 0.741 0.870 O

***

20.
Nb2As2O5 PBE-GGA optimized geometry; calculated volume = 12.01 A^3/atom; M_tot = 2.8 Bohr magnetons per cell; energy = -58.878 eV/cell
1.0
-5.976 -2.800 0.276
-0.033 -0.327 -4.032
1.723 -3.650 0.281
As Nb O
2 2 5
direct
0.205 0.500 0.500 As
0.795 0.500 0.500 As
0.000 0.000 0.000 Nb
0.500 0.000 0.000 Nb
0.197 0.500 0.000 O
0.803 0.500 0.000 O
0.197 0.000 0.500 O
0.803 0.000 0.500 O
0.500 0.500 0.500 O